DFT (PBE-GGA) results for a geometry-optimized ScGa4Fe structure.

abc: 4.726 6.337 7.933
angles: 113.54 107.36 90.00
Site moments in Bohr magnetons follow the coordinates.
Element x y z (fractional)
1 Fe 0.739 0.500 0.000  1.53
2 Fe 0.261 0.500 0.000  1.53
3 Sc 0.794 0.793 0.587  0.02
4 Sc 0.206 0.207 0.413  0.02
5 Ga 0.164 0.663 0.326  -0.03
6 Ga 0.614 0.881 0.228  -0.02
7 Ga 0.614 0.348 0.228  -0.02
8 Ga 0.386 0.119 0.772  -0.02
9 Ga 0.000 0.817 0.000  -0.03
10 Ga 0.000 0.183 0.000  -0.03
11 Ga 0.386 0.652 0.772  -0.02
12 Ga 0.836 0.337 0.674  -0.03

Space group: C2/m
Energy of formation, eV per formula unit: -1.343